# 1
This record from the Alexandria database describes a relaxed U6AuSe12 crystal. The functional is PBE.

Cell: 8.243 8.243 8.243 Å, 101.31 101.31 101.31°
Each line ends with the local moment (μB).
Fractional coordinates of all 19 atoms:
U1 0.700 0.868 0.379  2.24
U2 0.621 0.300 0.132  2.24
U3 0.132 0.621 0.300  2.24
U4 0.300 0.132 0.621  2.24
U5 0.379 0.700 0.868  2.24
U6 0.868 0.379 0.700  2.24
Au1 0.000 0.000 0.000  -0.06
Se1 0.826 0.576 0.432  -0.08
Se2 0.432 0.826 0.576  -0.08
Se3 0.576 0.432 0.826  -0.08
Se4 0.174 0.424 0.568  -0.08
Se5 0.568 0.174 0.424  -0.08
Se6 0.424 0.568 0.174  -0.08
Se7 0.058 0.942 0.319  -0.10
Se8 0.058 0.681 0.942  -0.10
Se9 0.681 0.942 0.058  -0.10
Se10 0.942 0.058 0.681  -0.10
Se11 0.942 0.319 0.058  -0.10
Se12 0.319 0.058 0.942  -0.10

Computed properties:
Fermi-level density of states: 40.8 states/eV/cell
Total energy: -6.906 eV/atom
Formation energy from raw total energies: -0.968 eV per atom
Crystal system: trigonal

***

# 2
This record from the Alexandria database describes a relaxed U2AuSe crystal. The functional is PBE.

Cell: 3.186 3.186 10.578 Å, 81.34 81.34 60.00°
Each line ends with the local moment (μB).
Fractional coordinates of all 4 atoms:
Au1 0.000 0.000 0.000  0.07
U1 0.096 0.096 0.712  2.21
U2 0.904 0.904 0.288  2.21
Se1 0.500 0.500 0.500  -0.06

Computed properties:
Fermi-level density of states: 11.2 states/eV/cell
Total energy: -7.207 eV/atom
Formation energy from raw total energies: 0.128 eV per atom
Crystal system: trigonal

***

# 3
This record from the Alexandria database describes a relaxed V2AuSe crystal. The functional is PBE.

Cell: 6.914 6.914 5.631 Å, 52.13 52.13 90.00°
Each line ends with the local moment (μB).
Fractional coordinates of all 8 atoms:
Au1 0.000 0.000 0.000  0.00
Au2 0.750 0.250 0.500  0.00
Se1 0.500 0.500 0.000  -0.01
Se2 0.250 0.750 0.500  -0.01
V1 0.596 0.125 0.250  0.46
V2 0.154 0.625 0.250  0.46
V3 0.375 0.404 0.750  0.46
V4 0.875 0.846 0.750  0.46

Computed properties:
Fermi-level density of states: 8.9 states/eV/cell
Total energy: -6.050 eV/atom
Formation energy from raw total energies: 0.199 eV per atom
Crystal system: tetragonal

***

# 4
This record from the Alexandria database describes a relaxed VAu2Se crystal. The functional is PBE.

Cell: 7.668 7.668 6.019 Å, 50.43 50.43 90.00°
Each line ends with the local moment (μB).
Fractional coordinates of all 8 atoms:
Au1 0.624 0.125 0.250  -0.03
Au2 0.126 0.625 0.250  -0.03
Au3 0.375 0.376 0.750  -0.03
Au4 0.875 0.874 0.750  -0.03
Se1 0.000 0.000 0.000  -0.16
Se2 0.750 0.250 0.500  -0.16
V1 0.500 0.500 0.000  1.85
V2 0.250 0.750 0.500  1.85

Computed properties:
Fermi-level density of states: 7.1 states/eV/cell
Total energy: -4.614 eV/atom
Formation energy from raw total energies: 0.175 eV per atom
Crystal system: tetragonal

***

# 5
This record from the Alexandria database describes a relaxed YV2AuSe crystal. The functional is PBE.

Cell: 5.240 5.240 5.160 Å, 90.00 90.00 90.00°
Each line ends with the local moment (μB).
Fractional coordinates of all 5 atoms:
Y1 0.000 0.000 0.000  0.24
Au1 0.000 0.000 0.500  0.03
Se1 0.500 0.500 0.500  -0.11
V1 0.000 0.500 0.000  2.54
V2 0.500 0.000 0.000  2.54

Computed properties:
Fermi-level density of states: 6.6 states/eV/cell
Total energy: -4.671 eV/atom
Formation energy from raw total energies: 1.622 eV per atom
Crystal system: tetragonal

***

# 6
This record from the Alexandria database describes a relaxed YVAu2Se crystal. The functional is PBE.

Cell: 5.392 5.294 5.392 Å, 90.00 90.00 90.00°
Each line ends with the local moment (μB).
Fractional coordinates of all 5 atoms:
Y1 0.000 0.000 0.000  0.00
Au1 0.000 0.000 0.500  0.01
Au2 0.500 0.000 0.000  0.00
Se1 0.000 0.500 0.000  0.03
V1 0.500 0.500 0.500  0.08

Computed properties:
Fermi-level density of states: 12.7 states/eV/cell
Total energy: -4.367 eV/atom
Formation energy from raw total energies: 0.757 eV per atom
Crystal system: tetragonal

***

# 7
This record from the Alexandria database describes a relaxed WAuSe2 crystal. The functional is PBE.

Cell: 3.159 4.073 5.756 Å, 90.00 90.00 90.00°
Fractional coordinates of all 4 atoms:
Au1 0.500 0.500 0.762
Se1 0.000 0.000 0.000
Se2 0.500 0.500 0.308
W1 0.000 0.000 0.430

Computed properties:
Fermi-level density of states: 3.1 states/eV/cell
Total energy: -5.339 eV/atom
Energy above the lowest structure with this stoichiometry: 496 meV/atom
Formation energy from raw total energies: 0.461 eV per atom
Crystal system: orthorhombic

***

# 8
This record from the Alexandria database describes a relaxed WAu2Se crystal. The functional is PBE.

Cell: 4.583 4.583 5.532 Å, 81.42 81.42 39.66°
Fractional coordinates of all 4 atoms:
Au1 0.988 0.988 0.006
Au2 0.740 0.740 0.759
Se1 0.524 0.524 0.446
W1 0.248 0.248 0.289

Computed properties:
Fermi-level density of states: 2.7 states/eV/cell
Total energy: -5.353 eV/atom
Formation energy from raw total energies: 0.395 eV per atom
Crystal system: monoclinic

***

Q: The highest total energy belongs to which entry?
A: YVAu2Se

***

Q: The highest Fermi-level density of states belongs to which entry?
A: U6AuSe12

***

Q: Which of these has the lowest formation energy from raw total energies?
A: U6AuSe12

***

Q: Among the records above, which one has the lowest formation energy from raw total energies?
A: U6AuSe12